{"formula": "MnBi2PbO6", "functional": "PBE with a Hubbard U", "state": "optimized geometry", "e_tot_ev_per_cell": -60.37, "lattice_angstrom": [[2.926, 1.689, 5.132], [-2.926, 1.689, 5.132], [0.000, -3.378, 5.132]], "species": ["Mn", "Bi", "Bi", "Pb", "O", "O", "O", "O", "O", "O"], "frac_coords": [[0.000, 0.000, 0.000], [0.308, 0.308, 0.308], [0.793, 0.793, 0.793], [0.526, 0.526, 0.526], [0.103, 0.753, 0.340], [0.180, 0.662, 0.909], [0.340, 0.103, 0.753], [0.662, 0.909, 0.180], [0.753, 0.340, 0.103], [0.909, 0.180, 0.662]]}